[1]
SiSn2S4 after structural relaxation. Source: the Alexandria database, functional GGA-PBE.

Values from the calculation:
E above lowest polymorph: 23.3 meV/atom
Raw total energy: -4.80 eV per atom
Formation energy (no corrections): -0.52 eV per atom

Lattice parameters (Å, degrees): 6.7106 6.5353 8.5291 90.00 107.52 90.00
Space group P2_1/m (No. 11)
One atom of each set of equivalent atoms:
Si1 0.2006 0.2500 0.2821 (multiplicity 2)
Sn1 0.2184 0.7500 0.0546 (multiplicity 2)
Sn2 0.2896 0.7500 0.5616 (multiplicity 2)
S1 0.0094 0.0016 0.7877 (multiplicity 4)
S2 0.3632 0.2500 0.5397 (multiplicity 2)
S3 0.4267 0.2500 0.1518 (multiplicity 2)


[2]
SiSn2S4 after structural relaxation. Source: the Alexandria database, functional GGA-PBE.

Values from the calculation:
E above lowest polymorph: 81.7 meV/atom
Raw total energy: -4.74 eV per atom
Formation energy (no corrections): -0.46 eV per atom

Lattice parameters (Å, degrees): 5.8179 5.8278 5.9056 73.66 73.53 87.29
Space group P1 (No. 1)
One atom of each set of equivalent atoms:
Si1 0.0000 0.0000 0.0000 (multiplicity 1)
Sn1 0.3351 0.8176 0.5532 (multiplicity 1)
Sn2 0.8153 0.3339 0.5552 (multiplicity 1)
S1 0.1865 0.7269 0.1864 (multiplicity 1)
S2 0.2536 0.2528 0.6946 (multiplicity 1)
S3 0.7261 0.1871 0.1864 (multiplicity 1)
S4 0.8486 0.8493 0.7768 (multiplicity 1)


[3]
SiSnS2 after structural relaxation. Source: the Alexandria database, functional GGA-PBE.

Values from the calculation:
E above lowest polymorph: 313.6 meV/atom
Raw total energy: -4.41 eV per atom
Formation energy (no corrections): 0.01 eV per atom

Lattice parameters (Å, degrees): 7.0251 7.0251 6.9270 90.00 90.00 90.00
Space group I-42d (No. 122)
One atom of each set of equivalent atoms:
Si1 0.0000 0.0000 0.0000 (multiplicity 4)
Sn1 0.0000 0.0000 0.5000 (multiplicity 4)
S1 0.1998 0.2500 0.1250 (multiplicity 8)


[4]
SiSnS2 after structural relaxation. Source: the Alexandria database, functional GGA-PBE.

Values from the calculation:
E above lowest polymorph: 528.3 meV/atom
Raw total energy: -4.20 eV per atom
Formation energy (no corrections): 0.23 eV per atom

Lattice parameters (Å, degrees): 6.7446 6.7446 6.7446 90.00 90.00 90.00
Space group Fm-3m (No. 225)
One atom of each set of equivalent atoms:
Si1 0.0000 0.0000 0.0000 (multiplicity 4)
Sn1 0.0000 0.0000 0.5000 (multiplicity 4)
S1 0.2500 0.2500 0.2500 (multiplicity 8)


[5]
SiSnS2 after structural relaxation. Source: the Alexandria database, functional GGA-PBE.

Values from the calculation:
E above lowest polymorph: 0.0 meV/atom
Raw total energy: -4.72 eV per atom
Formation energy (no corrections): -0.30 eV per atom

Lattice parameters (Å, degrees): 3.3963 3.3963 25.2931 90.00 90.00 120.00
Space group R-3m (No. 166, hexagonal axes)
One atom of each set of equivalent atoms:
Si1 0.0000 0.0000 0.0000 (multiplicity 3)
Sn1 0.0000 0.0000 0.5000 (multiplicity 3)
S1 0.0000 0.0000 0.3852 (multiplicity 6)


[6]
SrSiSnS4 after structural relaxation. Source: the Alexandria database, functional GGA-PBE.

Values from the calculation:
Raw total energy: -4.97 eV per atom
Formation energy (no corrections): -1.03 eV per atom

Lattice parameters (Å, degrees): 6.6556 6.5493 8.3669 90.00 107.50 90.00
Space group P2_1/m (No. 11)
One atom of each set of equivalent atoms:
Sr1 0.2310 0.2500 0.0481 (multiplicity 2)
Si1 0.2228 0.7500 0.7874 (multiplicity 2)
Sn1 0.2323 0.2500 0.5522 (multiplicity 2)
S1 0.0025 0.0004 0.7231 (multiplicity 4)
S2 0.3633 0.7500 0.0501 (multiplicity 2)
S3 0.4226 0.7500 0.6349 (multiplicity 2)


[7]
Tl2SiSnS4 after structural relaxation. Source: the Alexandria database, functional GGA-PBE.

Values from the calculation:
Raw total energy: -4.07 eV per atom
Formation energy (no corrections): -0.24 eV per atom

Lattice parameters (Å, degrees): 7.4955 8.6701 11.8650 90.00 90.00 90.00
Space group Imma (No. 74)
One atom of each set of equivalent atoms:
Tl1 0.0000 0.0000 0.0000 (multiplicity 4)
Tl2 0.2500 0.2500 0.2500 (multiplicity 4)
Si1 0.2500 0.2500 0.7500 (multiplicity 4)
Sn1 0.0000 0.0000 0.5000 (multiplicity 4)
S1 0.0000 0.0634 0.7464 (multiplicity 8)
S2 0.2396 0.2500 0.5576 (multiplicity 8)


[8]
Tm6Si2SnS3 after structural relaxation. Source: the Alexandria database, functional GGA-PBE.

Values from the calculation:
Raw total energy: -5.80 eV per atom
Formation energy (no corrections): -1.29 eV per atom

Lattice parameters (Å, degrees): 17.5947 3.9807 8.1273 90.00 104.19 90.00
Space group C2/m (No. 12)
One atom of each set of equivalent atoms:
Tm1 0.0001 0.0000 0.2312 (multiplicity 4)
Tm2 0.1700 0.5000 0.0790 (multiplicity 4)
Tm3 0.1732 0.5000 0.5913 (multiplicity 4)
Si1 0.1653 0.0000 0.8315 (multiplicity 4)
Sn1 0.0000 0.5000 0.5000 (multiplicity 2)
S1 0.0000 0.5000 0.0000 (multiplicity 2)
S2 0.1666 0.0000 0.3308 (multiplicity 4)


[9]
VSi2SnS after structural relaxation. Source: the Alexandria database, functional GGA-PBE.

Values from the calculation:
Raw total energy: -5.31 eV per atom
Formation energy (no corrections): 0.31 eV per atom

Lattice parameters (Å, degrees): 4.7687 4.7687 4.4755 90.00 90.00 90.00
Space group P4/mmm (No. 123)
One atom of each set of equivalent atoms:
V1 0.0000 0.0000 0.0000 (multiplicity 1)
Si1 0.0000 0.5000 0.0000 (multiplicity 2)
Sn1 0.5000 0.5000 0.5000 (multiplicity 1)
S1 0.0000 0.0000 0.5000 (multiplicity 1)


[10]
YSi2SnS after structural relaxation. Source: the Alexandria database, functional GGA-PBE.

Values from the calculation:
Raw total energy: -3.88 eV per atom
Formation energy (no corrections): 1.21 eV per atom

Lattice parameters (Å, degrees): 5.2854 5.2854 6.0314 90.00 90.00 90.00
Space group P4/mmm (No. 123)
One atom of each set of equivalent atoms:
Y1 0.0000 0.0000 0.0000 (multiplicity 1)
Si1 0.0000 0.5000 0.0000 (multiplicity 2)
Sn1 0.0000 0.0000 0.5000 (multiplicity 1)
S1 0.5000 0.5000 0.5000 (multiplicity 1)


[11]
Sr4SiS6 after structural relaxation. Source: the Alexandria database, functional GGA-PBE.

Values from the calculation:
Raw total energy: -5.03 eV per atom
Formation energy (no corrections): -1.67 eV per atom

Lattice parameters (Å, degrees): 14.1219 7.5099 13.9282 90.00 112.49 90.00
Space group Cc (No. 9)
One atom of each set of equivalent atoms:
Sr1 0.0000 0.1302 0.0000 (multiplicity 4)
Sr2 0.1298 0.3044 0.3655 (multiplicity 4)
Sr3 0.2943 0.3296 0.7154 (multiplicity 4)
Sr4 0.3627 0.1317 0.0409 (multiplicity 4)
Si1 0.0699 0.2302 0.7702 (multiplicity 4)
S1 0.0844 0.4612 0.6829 (multiplicity 4)
S2 0.1403 0.0115 0.7242 (multiplicity 4)
S3 0.1543 0.2963 0.9314 (multiplicity 4)
S4 0.3227 0.2406 0.5303 (multiplicity 4)
S5 0.4122 0.3027 0.2470 (multiplicity 4)
S6 0.4563 0.2807 0.9123 (multiplicity 4)


[12]
Sr3Si5S12 after structural relaxation. Source: the Alexandria database, functional GGA-PBE.

Values from the calculation:
Raw total energy: -5.01 eV per atom
Formation energy (no corrections): -0.93 eV per atom

Lattice parameters (Å, degrees): 15.1705 15.1705 15.1705 90.00 90.00 90.00
Space group Ia-3d (No. 230)
One atom of each set of equivalent atoms:
Sr1 0.0000 0.2500 0.1250 (multiplicity 24)
Si1 0.0000 0.0000 0.0000 (multiplicity 16)
Si2 0.0000 0.2500 0.3750 (multiplicity 24)
S1 0.0365 0.0523 0.6502 (multiplicity 96)